This record from Alexandria describes RbV3Ga after structural relaxation. The functional is PBE-GGA.

Results
Volume: 18.01 Å³/atom
M_tot: 0.0 μB per formula unit
Distance to the lowest polymorph of the same formula: 1187 meV per atom
E: -18.96 eV for the cell shown
Space-group type: Pm-3m, No. 221

a b c (Å): 4.482 4.482 4.482
angles (deg): 90.00 90.00 90.00
Fractional coordinates of all 5 atoms:
V1 0.000 0.500 0.000
V2 0.000 0.000 0.500
Ga1 0.500 0.500 0.500
V3 0.500 0.000 0.000
Rb1 0.000 0.000 0.000